Entry from the Alexandria database: a relaxed structure of RbNbN2O (PBE).

Output
Raw formation energy   -0.50 eV/atom

Lattice parameters (Å, degrees): 4.2354 4.2354 4.1429 90.00 90.00 90.00
Closest atoms and distances in Å follow each position.
Fractional coordinates of all 5 atoms:
Rb1 0.0000 0.0000 0.0000  8 N 2.96, 4 O 2.99
Nb1 0.5000 0.5000 0.5000  2 O 2.07, 4 N 2.12
N1 0.0000 0.5000 0.5000  2 Nb 2.12
N2 0.5000 0.0000 0.5000  2 Nb 2.12
O1 0.5000 0.5000 0.0000  2 Nb 2.07

Entry from the Alexandria database: a relaxed structure of TmReB4 (PBE).

Output
Energy of formation   -0.4004 eV/atom

Lattice parameters (Å, degrees): 3.0735 3.5861 5.3428 90.00 90.00 90.00
Closest atoms and distances in Å follow each position.
Fractional coordinates of all 6 atoms:
Tm1 0.0000 0.0000 0.0000  12 B 2.56
Re1 0.5000 0.0000 0.5000  12 B 2.47-2.51
B1 0.0000 0.5000 0.3418  3 B 1.69-1.76
B2 0.0000 0.5000 0.6582  3 B 1.69-1.76
B3 0.5000 0.5000 0.1830  3 B 1.76-1.96
B4 0.5000 0.5000 0.8170  3 B 1.76-1.96

Entry from the Alexandria database: a relaxed structure of Y2TlCl (PBE).

Output
Raw formation energy   -0.65 eV/atom

Lattice parameters (Å, degrees): 3.5652 3.5652 10.0431 90.00 90.00 90.00
Closest atoms and distances in Å follow each position.
Fractional coordinates of all 4 atoms:
Y1 0.0000 0.0000 0.0000  4 Tl 3.26, 8 Y 3.57-3.59
Y2 0.5000 0.5000 0.2546  4 Cl 2.93
Tl1 0.5000 0.5000 0.7938  4 Y 3.26, 4 Tl 3.57
Cl1 0.0000 0.0000 0.4035  4 Y 2.93

Entry from the Alexandria database: a relaxed structure of K2ScCl3O (PBE).

Output
Raw formation energy   -2.22 eV/atom

Lattice parameters (Å, degrees): 8.8927 8.8927 8.8927 154.12 145.90 43.30
Closest atoms and distances in Å follow each position.
Fractional coordinates of all 7 atoms:
K1 0.1470 0.1470 0.0000  7 Cl 3.14-3.29
K2 0.8530 0.8530 0.0000  7 Cl 3.14-3.29
Sc1 0.5000 0.5000 0.0000  2 O 1.99
Cl1 0.0000 0.5000 0.5000  2 Sc 2.61
Cl2 0.3388 0.3388 0.0000  1 Sc 2.66
Cl3 0.6612 0.6612 0.0000  1 Sc 2.66
O1 0.5000 0.0000 0.5000  2 Sc 1.99

Summary of theoretical density in g/cm3
4.97, 11.23, 5.43, 2.37
(order as listed above)
Summary of calculated total energy in eV/atom
-7.025, -7.672, -4.933, -4.938
(order as listed above)